1.
A relaxed SrZr2Ag crystal. Source: the Alexandria database, functional PBE.

ΔH_f (0 K): 0.443 eV per atom
crystal system: trigonal

```
data_SrZr2Ag
_space_group_name_H-M_alt 'R -3 m'
_space_group_IT_number 166
_space_group_name_Hall '-R 3 2"'
_cell_length_a 3.2918
_cell_length_b 3.2918
_cell_length_c 32.6680
_cell_angle_alpha 90.00
_cell_angle_beta 90.00
_cell_angle_gamma 120.00
loop_
_atom_site_label
_atom_site_type_symbol
_atom_site_fract_x
_atom_site_fract_y
_atom_site_fract_z
Sr1 Sr 0.0000 0.0000 0.0000
Zr1 Zr 0.0000 0.0000 0.2388
Ag1 Ag 0.0000 0.0000 0.5000
```

2.
A relaxed SrZr2Ag crystal. Source: the Alexandria database, functional PBE.

ΔH_f (0 K): 0.506 eV per atom
crystal system: orthorhombic

```
data_SrZr2Ag
_space_group_name_H-M_alt 'C m m m'
_space_group_IT_number 65
_space_group_name_Hall '-C 2 2'
_cell_length_a 5.929
_cell_length_b 10.868
_cell_length_c 3.145
_cell_angle_alpha 90.00
_cell_angle_beta 90.00
_cell_angle_gamma 90.00
loop_
_atom_site_label
_atom_site_type_symbol
_atom_site_fract_x
_atom_site_fract_y
_atom_site_fract_z
Sr1 Sr 0.000 0.000 0.000
Zr1 Zr 0.250 0.250 0.500
Ag1 Ag 0.000 0.500 0.000
```

3.
A relaxed SrZr2Ag crystal. Source: the Alexandria database, functional PBE.

ΔH_f (0 K): 0.475 eV per atom
crystal system: tetragonal

```
data_SrZr2Ag
_space_group_name_H-M_alt 'I -4 m 2'
_space_group_IT_number 119
_space_group_name_Hall 'I -4 -2'
_cell_length_a 4.812
_cell_length_b 4.812
_cell_length_c 8.789
_cell_angle_alpha 90.00
_cell_angle_beta 90.00
_cell_angle_gamma 90.00
loop_
_atom_site_label
_atom_site_type_symbol
_atom_site_fract_x
_atom_site_fract_y
_atom_site_fract_z
Sr1 Sr 0.000 0.000 0.000
Zr1 Zr 0.000 0.000 0.500
Zr2 Zr 0.000 0.500 0.750
Ag1 Ag 0.000 0.500 0.250
```

4.
A relaxed Sr2ZrAg crystal. Source: the Alexandria database, functional PBE.

ΔH_f (0 K): 0.257 eV per atom
crystal system: monoclinic

```
data_Sr2ZrAg
_space_group_name_H-M_alt 'C 1 m 1'
_space_group_IT_number 8
_cell_length_a 13.520
_cell_length_b 3.687
_cell_length_c 5.811
_cell_angle_alpha 90.00
_cell_angle_beta 115.42
_cell_angle_gamma 90.00
loop_
_space_group_symop_operation_xyz
'x,y,z'
'x,-y,z'
'x+1/2,y+1/2,z'
'x+1/2,-y+1/2,z'
loop_
_atom_site_label
_atom_site_type_symbol
_atom_site_fract_x
_atom_site_fract_y
_atom_site_fract_z
Sr1 Sr 0.000 0.000 0.000
Sr2 Sr 0.206 0.000 0.705
Zr1 Zr 0.292 0.500 0.291
Ag1 Ag 0.474 0.000 0.474
```

5.
A relaxed SrZr2Ag crystal. Source: the Alexandria database, functional PBE.

ΔH_f (0 K): 0.392 eV per atom
crystal system: tetragonal

```
data_SrZr2Ag
_space_group_name_H-M_alt 'I 4/m m m'
_space_group_IT_number 139
_space_group_name_Hall '-I 4 2'
_cell_length_a 4.310
_cell_length_b 4.310
_cell_length_c 11.145
_cell_angle_alpha 90.00
_cell_angle_beta 90.00
_cell_angle_gamma 90.00
loop_
_atom_site_label
_atom_site_type_symbol
_atom_site_fract_x
_atom_site_fract_y
_atom_site_fract_z
Sr1 Sr 0.000 0.000 0.000
Zr1 Zr 0.000 0.500 0.250
Ag1 Ag 0.000 0.000 0.500
```

6.
A relaxed SrZrAg4 crystal. Source: the Alexandria database, functional PBE.

ΔH_f (0 K): 0.102 eV per atom
crystal system: cubic

```
data_SrZrAg4
_space_group_name_H-M_alt 'F -4 3 m'
_space_group_IT_number 216
_space_group_name_Hall 'F -4 2 3'
_cell_length_a 8.095
_cell_length_b 8.095
_cell_length_c 8.095
_cell_angle_alpha 90.00
_cell_angle_beta 90.00
_cell_angle_gamma 90.00
loop_
_atom_site_label
_atom_site_type_symbol
_atom_site_fract_x
_atom_site_fract_y
_atom_site_fract_z
Sr1 Sr 0.000 0.000 0.000
Zr1 Zr 0.250 0.250 0.750
Ag1 Ag 0.124 0.124 0.376
```

Which of these has the lowest ΔH_f (0 K)?
SrZrAg4